{"formula": "LiVGeO5", "functional": "GGA+U", "state": "relaxed", "e_tot_ev_per_cell": -106.492, "m_tot_mub_per_cell": 0.0, "e_above_lowest_polymorph_mev_per_atom": 21, "lattice": [[6.503, 0.005, 0.000], [-0.126, 6.502, 0.000], [0.000, 0.000, 4.729]], "species": ["O", "O", "O", "O", "O", "O", "O", "O", "O", "O", "V", "V", "Ge", "Ge", "Li", "Li"], "fractional_positions": [[0.532, 0.757, 0.277], [0.743, 0.968, 0.723], [0.757, 0.532, 0.723], [0.468, 0.243, 0.723], [0.968, 0.743, 0.277], [0.257, 0.032, 0.277], [0.243, 0.468, 0.277], [0.032, 0.257, 0.723], [0.250, 0.750, 0.733], [0.750, 0.250, 0.267], [0.250, 0.750, 0.388], [0.750, 0.250, 0.612], [0.750, 0.750, 0.500], [0.250, 0.250, 0.500], [0.500, 0.000, 0.000], [0.000, 0.500, 0.000]]}